DFT (PBEsol) results for a relaxed CaMg2Cu crystal.

Cell: 4.5821 5.9616 6.5941 Å, 90.00 90.00 90.00°
Last column: nearest neighbours and their distance in Å.
Fractional positions:
Ca 0.0000 0.0000 0.4223  4 Cu 3.25-3.27, 6 Mg 3.29-3.36
Ca 0.5000 0.5000 0.5777  4 Cu 3.25-3.27, 6 Mg 3.29-3.36
Cu 0.0000 0.5000 0.2243  6 Mg 2.78-2.79
Cu 0.5000 0.0000 0.7757  6 Mg 2.78-2.79
Mg 0.0000 0.2437 0.8704  3 Cu 2.78-2.79, 4 Mg 2.86-3.06
Mg 0.0000 0.7563 0.8704  3 Cu 2.78-2.79, 4 Mg 2.86-3.06
Mg 0.5000 0.2563 0.1296  3 Cu 2.78-2.79, 4 Mg 2.86-3.06
Mg 0.5000 0.7437 0.1296  3 Cu 2.78-2.79, 4 Mg 2.86-3.06

Output
**Total energy**: -2.5070 eV per atom
**Space group**: Pmmn
**Total magnetization**: 0.000 μB per cell
**Crystal system**: orthorhombic

DFT (PBEsol) results for a relaxed Ca3Mg4Cu2 crystal.

Cell: 3.7608 7.4797 8.2076 Å, 95.46 103.24 90.00°
Last column: nearest neighbours and their distance in Å.
Fractional positions:
Ca 0.1554 0.3638 0.3107  2 Cu 2.99
Ca 0.8446 0.6362 0.6893  2 Cu 2.99
Ca 0.0000 0.0000 0.0000  4 Cu 2.87
Mg 0.1996 0.8505 0.3992  3 Cu 2.66-2.67
Mg 0.8004 0.1495 0.6008  3 Cu 2.66-2.67
Mg 0.5547 0.6768 0.1093  1 Cu 2.97, 3 Mg 3.02-3.16, 2 Ca 3.25
Mg 0.4453 0.3232 0.8907  1 Cu 2.97, 3 Mg 3.02-3.16, 2 Ca 3.25
Cu 0.3642 0.9491 0.7283  4 Mg 2.66-2.97, 2 Ca 2.87
Cu 0.6358 0.0509 0.2717  4 Mg 2.66-2.97, 2 Ca 2.87

Output
**Total energy**: -2.4529 eV per atom
**Space group**: C2/m
**Total magnetization**: 0.000 μB per cell
**Crystal system**: monoclinic

DFT (PBEsol) results for a relaxed CaMgCu crystal.

Cell: 5.5676 6.4997 7.2247 Å, 90.00 90.00 90.00°
Last column: nearest neighbours and their distance in Å.
Fractional positions:
Ca 0.7500 0.5966 0.5913  4 Cu 3.06-3.08, 2 Mg 3.30-3.32, 2 Ca 3.33
Ca 0.2500 0.4034 0.4087  4 Cu 3.06-3.08, 2 Mg 3.30-3.32, 2 Ca 3.33
Ca 0.7500 0.4034 0.0913  4 Cu 3.06-3.08, 2 Mg 3.30-3.32, 2 Ca 3.33
Ca 0.2500 0.5966 0.9087  4 Cu 3.06-3.08, 2 Mg 3.30-3.32, 2 Ca 3.33
Cu 0.0000 0.7841 0.2500  4 Mg 2.75, 2 Cu 2.78, 4 Ca 3.06-3.08
Cu 0.5000 0.2159 0.7500  4 Mg 2.75, 2 Cu 2.78, 4 Ca 3.06-3.08
Cu 0.0000 0.2159 0.7500  4 Mg 2.75, 2 Cu 2.78, 4 Ca 3.06-3.08
Cu 0.5000 0.7841 0.2500  4 Mg 2.75, 2 Cu 2.78, 4 Ca 3.06-3.08
Mg 0.7500 0.9220 0.9456  4 Cu 2.75, 2 Mg 3.07
Mg 0.2500 0.0780 0.0544  4 Cu 2.75, 2 Mg 3.07
Mg 0.7500 0.0780 0.4456  4 Cu 2.75, 2 Mg 3.07
Mg 0.2500 0.9220 0.5544  4 Cu 2.75, 2 Mg 3.07

Output
**Total energy**: -2.7668 eV per atom
**Space group**: Pbcm
**Total magnetization**: 0.000 μB per cell
**Crystal system**: orthorhombic

DFT (PBEsol) results for a relaxed Ca2MgCu crystal.

Cell: 3.5316 3.5316 8.1503 Å, 90.00 90.00 90.00°
Last column: nearest neighbours and their distance in Å.
Fractional positions:
Ca 0.0000 0.0000 0.7912  4 Cu 3.02
Ca 0.0000 0.0000 0.2088  4 Cu 3.02
Mg 0.5000 0.5000 0.5000  8 Ca 3.45, 4 Mg 3.53
Cu 0.5000 0.5000 0.0000  8 Ca 3.02

Output
**Total energy**: -2.6147 eV per atom
**Space group**: P4/mmm
**Total magnetization**: 0.000 μB per cell
**Crystal system**: tetragonal

DFT (PBEsol) results for a relaxed Ca2MgCu2 crystal.

Cell: 5.7170 5.8440 7.8438 Å, 102.15 90.00 119.28°
Last column: nearest neighbours and their distance in Å.
Fractional positions:
Ca 0.9939 0.7041 0.8535  6 Cu 3.03-3.17, 2 Mg 3.36-3.38
Ca 0.2898 0.2959 0.6465  6 Cu 3.03-3.17, 2 Mg 3.36-3.38
Ca 0.0061 0.2959 0.1465  6 Cu 3.03-3.17, 2 Mg 3.36-3.38
Ca 0.7102 0.7041 0.3535  6 Cu 3.03-3.17, 2 Mg 3.36-3.38
Cu 0.4964 0.2919 0.0027  1 Cu 2.42, 1 Mg 2.69
Cu 0.2044 0.7081 0.4973  1 Cu 2.42, 1 Mg 2.69
Cu 0.5036 0.7081 0.9973  1 Cu 2.42, 1 Mg 2.69
Cu 0.7956 0.2919 0.5027  1 Cu 2.42, 1 Mg 2.69
Mg 0.3709 0.0000 0.2500  4 Cu 2.69-2.72
Mg 0.6291 0.0000 0.7500  4 Cu 2.69-2.72

Output
**Total energy**: -3.0290 eV per atom
**Space group**: C2/c
**Total magnetization**: 0.000 μB per cell
**Crystal system**: monoclinic

DFT (PBEsol) results for a relaxed CaMg2Cu crystal.

Cell: 4.6669 4.6669 8.7986 Å, 105.38 105.38 90.00°
Last column: nearest neighbours and their distance in Å.
Fractional positions:
Ca 0.8533 0.8533 0.7066  4 Cu 2.88
Ca 0.1467 0.1467 0.2934  4 Cu 2.88
Cu 0.7500 0.2500 0.5000  4 Mg 2.84, 4 Ca 2.88
Cu 0.2500 0.7500 0.5000  4 Mg 2.84, 4 Ca 2.88
Mg 0.0000 0.5000 0.0000  8 Mg 3.30-3.39, 4 Ca 3.34
Mg 0.5000 0.0000 0.0000  8 Mg 3.30-3.39, 4 Ca 3.34
Mg 0.6509 0.6509 0.3018  4 Cu 2.84
Mg 0.3491 0.3491 0.6982  4 Cu 2.84

Output
**Total energy**: -2.5031 eV per atom
**Space group**: I4/mmm
**Total magnetization**: 0.000 μB per cell
**Crystal system**: tetragonal